1.
Compound: Ac2NpN6
Source: Alexandria
Functional: PBE
Structure: optimized geometry

CIF file:
```
data_Ac2NpN6
_chemical_formula_sum 'Ac4 Np2 N12'
_cell_length_a 11.3052
_cell_length_b 6.2340
_cell_length_c 3.9929
_cell_angle_alpha 90.00
_cell_angle_beta 95.81
_cell_angle_gamma 90.00
_space_group_name_H-M_alt 'C 1 2/m 1'
_space_group_IT_number 12
loop_
_space_group_symop_operation_xyz
'x,y,z'
'-x,-y,-z'
'-x,y,-z'
'x,-y,z'
'x+1/2,y+1/2,z'
'-x+1/2,-y+1/2,-z'
'-x+1/2,y+1/2,-z'
'x+1/2,-y+1/2,z'
loop_
_atom_site_label
_atom_site_type_symbol
_atom_site_fract_x
_atom_site_fract_y
_atom_site_fract_z
Ac1 Ac 0.1650 0.0000 0.2142
Np1 Np 0.0000 0.5000 0.5000
N1 N 0.0000 0.2785 0.0000
N2 N 0.1281 0.2776 0.6875
```

Properties
**ΔE_f (raw)**: -3.00 eV/f.u.

2.
Compound: ScTaSe2
Source: Alexandria
Functional: PBE
Structure: optimized geometry

CIF file:
```
data_ScTaSe2
_chemical_formula_sum 'Sc2 Ta2 Se4'
_cell_length_a 9.5335
_cell_length_b 3.3251
_cell_length_c 4.7191
_cell_angle_alpha 90.00
_cell_angle_beta 100.43
_cell_angle_gamma 90.00
_space_group_name_H-M_alt 'C 1 m 1'
_space_group_IT_number 8
loop_
_space_group_symop_operation_xyz
'x,y,z'
'x,-y,z'
'x+1/2,y+1/2,z'
'x+1/2,-y+1/2,z'
loop_
_atom_site_label
_atom_site_type_symbol
_atom_site_fract_x
_atom_site_fract_y
_atom_site_fract_z
Sc1 Sc 0.0000 0.0000 0.0000
Ta1 Ta 0.2699 0.5000 0.3907
Se1 Se 0.2677 0.0000 0.9043
Se2 Se 0.4973 0.0000 0.4918
```

Properties
**Energy relative to the lowest polymorph listed for this composition**: 150.6 meV per atom
**ΔE_f (raw)**: -3.00 eV/f.u.

3.
Compound: Mn2SnRh3
Source: Alexandria
Functional: PBE
Structure: optimized geometry

CIF file:
```
data_Mn2SnRh3
_chemical_formula_sum 'Mn8 Sn4 Rh12'
_cell_length_a 4.4140
_cell_length_b 13.2944
_cell_length_c 6.2016
_cell_angle_alpha 90.00
_cell_angle_beta 90.00
_cell_angle_gamma 90.00
_space_group_name_H-M_alt 'C m m m'
_space_group_IT_number 65
_space_group_name_Hall '-C 2 2'
loop_
_atom_site_label
_atom_site_type_symbol
_atom_site_fract_x
_atom_site_fract_y
_atom_site_fract_z
Mn1 Mn 0.0000 0.0000 0.0000
Mn2 Mn 0.0000 0.0000 0.5000
Mn3 Mn 0.0000 0.3329 0.0000
Sn1 Sn 0.0000 0.3397 0.5000
Rh1 Rh 0.0000 0.1662 0.2450
Rh2 Rh 0.0000 0.5000 0.2396
```

Properties
**E_form**: -0.330 eV per atom

4.
Compound: Zr6Al7Co16
Source: Alexandria
Functional: PBE
Structure: optimized geometry

CIF file:
```
data_Zr6Al7Co16
_chemical_formula_sum 'Zr24 Al28 Co64'
_cell_length_a 11.6569
_cell_length_b 11.6569
_cell_length_c 11.6569
_cell_angle_alpha 90.00
_cell_angle_beta 90.00
_cell_angle_gamma 90.00
_space_group_name_H-M_alt 'F m -3 m'
_space_group_IT_number 225
_space_group_name_Hall '-F 4 2 3'
loop_
_atom_site_label
_atom_site_type_symbol
_atom_site_fract_x
_atom_site_fract_y
_atom_site_fract_z
Zr1 Zr 0.0000 0.0000 0.2106
Al1 Al 0.0000 0.0000 0.5000
Al2 Al 0.0000 0.2500 0.2500
Co1 Co 0.1232 0.1232 0.3768
Co2 Co 0.1750 0.1750 0.1750
```

Properties
**E_form**: -0.460 eV per atom

5.
Compound: Fe2HOsN
Source: Alexandria
Functional: PBE
Structure: optimized geometry

CIF file:
```
data_Fe2HOsN
_chemical_formula_sum 'Fe2 H1 Os1 N1'
_cell_length_a 3.3795
_cell_length_b 3.3795
_cell_length_c 4.1670
_cell_angle_alpha 90.00
_cell_angle_beta 90.00
_cell_angle_gamma 90.00
_space_group_name_H-M_alt 'P 4/m m m'
_space_group_IT_number 123
_space_group_name_Hall '-P 4 2'
loop_
_atom_site_label
_atom_site_type_symbol
_atom_site_fract_x
_atom_site_fract_y
_atom_site_fract_z
Fe1 Fe 0.0000 0.5000 0.0000
H1 H 0.0000 0.0000 0.0000
Os1 Os 0.0000 0.0000 0.5000
N1 N 0.5000 0.5000 0.5000
```

Properties
**Total energy**: -6.866 eV/atom

6.
Compound: BaAsN
Source: Alexandria
Functional: PBE
Structure: optimized geometry

CIF file:
```
data_BaAsN
_chemical_formula_sum 'Ba2 As2 N2'
_cell_length_a 4.4500
_cell_length_b 4.7845
_cell_length_c 8.3288
_cell_angle_alpha 90.00
_cell_angle_beta 101.28
_cell_angle_gamma 90.00
_space_group_name_H-M_alt 'P 1 2/m 1'
_space_group_IT_number 10
loop_
_space_group_symop_operation_xyz
'x,y,z'
'-x,-y,-z'
'-x,y,-z'
'x,-y,z'
loop_
_atom_site_label
_atom_site_type_symbol
_atom_site_fract_x
_atom_site_fract_y
_atom_site_fract_z
Ba1 Ba 0.1727 0.0000 0.2733
As1 As 0.2725 0.5000 0.5798
N1 N 0.3801 0.0000 0.9539
```

Properties
**Energy relative to the lowest polymorph listed for this composition**: 37.9 meV per atom
**ΔE_f (raw)**: -1.90 eV/f.u.

7.
Compound: Tm2ZrS5
Source: Alexandria
Functional: PBE
Structure: optimized geometry

CIF file:
```
data_Tm2ZrS5
_chemical_formula_sum 'Tm8 Zr4 S20'
_cell_length_a 5.1772
_cell_length_b 12.9196
_cell_length_c 12.7012
_cell_angle_alpha 90.00
_cell_angle_beta 90.00
_cell_angle_gamma 90.00
_space_group_name_H-M_alt 'C m c m'
_space_group_IT_number 63
_space_group_name_Hall '-C 2c 2'
loop_
_atom_site_label
_atom_site_type_symbol
_atom_site_fract_x
_atom_site_fract_y
_atom_site_fract_z
Tm1 Tm 0.0000 0.1460 0.0592
Zr1 Zr 0.0000 0.1943 0.7500
S1 S 0.0000 0.0483 0.6229
S2 S 0.0000 0.2553 0.2500
S3 S 0.0000 0.3119 0.5786
```

Properties
**ΔE_f (raw)**: -14.52 eV/f.u.

8.
Compound: BaCr2Co
Source: Alexandria
Functional: PBE
Structure: optimized geometry

CIF file:
```
data_BaCr2Co
_chemical_formula_sum 'Ba1 Cr2 Co1'
_cell_length_a 3.3862
_cell_length_b 4.6072
_cell_length_c 5.2651
_cell_angle_alpha 90.00
_cell_angle_beta 90.00
_cell_angle_gamma 90.00
_space_group_name_H-M_alt 'P m m m'
_space_group_IT_number 47
loop_
_space_group_symop_operation_xyz
'x,y,z'
'-x,-y,-z'
'-x,-y,z'
'x,y,-z'
'x,-y,-z'
'-x,y,z'
'-x,y,-z'
'x,-y,z'
loop_
_atom_site_label
_atom_site_type_symbol
_atom_site_fract_x
_atom_site_fract_y
_atom_site_fract_z
Ba1 Ba 0.0000 0.0000 0.0000
Cr1 Cr 0.0000 0.5000 0.5000
Cr2 Cr 0.5000 0.0000 0.5000
Co1 Co 0.5000 0.5000 0.0000
```

Properties
**Energy relative to the lowest polymorph listed for this composition**: 544.5 meV per atom
**E_form**: 1.094 eV per atom

9.
Compound: NaDyCdO3
Source: Alexandria
Functional: PBE
Structure: optimized geometry

CIF file:
```
data_NaDyCdO3
_chemical_formula_sum 'Na2 Dy2 Cd2 O6'
_cell_length_a 6.1586
_cell_length_b 3.2924
_cell_length_c 8.8974
_cell_angle_alpha 90.00
_cell_angle_beta 109.96
_cell_angle_gamma 90.00
_space_group_name_H-M_alt 'P 1 21/m 1'
_space_group_IT_number 11
loop_
_space_group_symop_operation_xyz
'x,y,z'
'-x,-y,-z'
'-x,y+1/2,-z'
'x,-y+1/2,z'
loop_
_atom_site_label
_atom_site_type_symbol
_atom_site_fract_x
_atom_site_fract_y
_atom_site_fract_z
Na1 Na 0.1411 0.2500 0.0983
Dy1 Dy 0.3367 0.7500 0.8152
Cd1 Cd 0.2579 0.7500 0.4119
O1 O 0.0540 0.2500 0.7998
O2 O 0.3599 0.2500 0.5979
O3 O 0.3933 0.7500 0.0809
```

Properties
**ΔE_f (raw)**: -12.34 eV/f.u.

10.
Compound: AcSmTl
Source: Alexandria
Functional: PBE
Structure: optimized geometry

CIF file:
```
data_AcSmTl
_chemical_formula_sum 'Ac2 Sm2 Tl2'
_cell_length_a 5.6662
_cell_length_b 5.6662
_cell_length_c 7.3054
_cell_angle_alpha 90.00
_cell_angle_beta 90.00
_cell_angle_gamma 120.00
_space_group_name_H-M_alt 'P 63/m m c'
_space_group_IT_number 194
_space_group_name_Hall '-P 6c 2c'
loop_
_atom_site_label
_atom_site_type_symbol
_atom_site_fract_x
_atom_site_fract_y
_atom_site_fract_z
Ac1 Ac 0.0000 0.0000 0.0000
Sm1 Sm 0.3333 0.6667 0.2500
Tl1 Tl 0.3333 0.6667 0.7500
```

Properties
**Energy relative to the lowest polymorph listed for this composition**: 45.6 meV per atom
**E_form**: -0.207 eV per atom

11.
Compound: Zr2TaTe
Source: Alexandria
Functional: PBE
Structure: optimized geometry

CIF file:
```
data_Zr2TaTe
_chemical_formula_sum 'Zr4 Ta2 Te2'
_cell_length_a 10.2577
_cell_length_b 3.6122
_cell_length_c 4.8968
_cell_angle_alpha 90.00
_cell_angle_beta 109.94
_cell_angle_gamma 90.00
_space_group_name_H-M_alt 'C 1 m 1'
_space_group_IT_number 8
loop_
_space_group_symop_operation_xyz
'x,y,z'
'x,-y,z'
'x+1/2,y+1/2,z'
'x+1/2,-y+1/2,z'
loop_
_atom_site_label
_atom_site_type_symbol
_atom_site_fract_x
_atom_site_fract_y
_atom_site_fract_z
Zr1 Zr 0.0000 0.0000 0.0000
Zr2 Zr 0.2427 0.0000 0.7604
Ta1 Ta 0.0038 0.5000 0.4868
Te1 Te 0.2620 0.5000 0.2831
```

Properties
**ΔE_f (raw)**: -0.62 eV/f.u.

12.
Compound: FeBr3
Source: Alexandria
Functional: PBE
Structure: optimized geometry

CIF file:
```
data_FeBr3
_chemical_formula_sum 'Fe1 Br3'
_cell_length_a 3.2179
_cell_length_b 3.2179
_cell_length_c 10.5764
_cell_angle_alpha 90.00
_cell_angle_beta 90.00
_cell_angle_gamma 90.00
_space_group_name_H-M_alt 'P 4/m m m'
_space_group_IT_number 123
_space_group_name_Hall '-P 4 2'
loop_
_atom_site_label
_atom_site_type_symbol
_atom_site_fract_x
_atom_site_fract_y
_atom_site_fract_z
Fe1 Fe 0.0000 0.0000 0.0000
Br1 Br 0.0000 0.0000 0.5000
Br2 Br 0.5000 0.5000 0.1526
```

Properties
**ΔE_f (raw)**: 0.32 eV/f.u.